[1]
VFeP2O8F2 | meta-GGA SCAN | PBEsol geometry

Cell lengths 5.050, 5.182, 7.265 Å; angles 109.86, 107.34, 93.65 degrees
Each line ends with the local moment (μB).
Fractional coordinates of all 14 atoms:
O 0.738 0.183 0.884  0.01
O 0.341 0.832 0.585  0.10
O 0.647 0.644 0.327  0.11
O 0.252 0.134 0.905  0.00
O 0.353 0.356 0.673  0.11
O 0.659 0.168 0.415  0.10
O 0.748 0.866 0.095  0.00
Fe 0.500 0.500 0.500  4.22
P 0.582 0.876 0.247  0.01
V 0.000 0.000 0.000  0.06
P 0.418 0.124 0.753  0.01
F 0.138 0.308 0.248  0.05
F 0.862 0.692 0.752  0.05
O 0.262 0.817 0.116  0.01

Calculated values
**Total magnetic moment**: 5.0 μB per formula unit
**Formation energy from raw total energies**: -2385 meV per atom
**Electronic total energy**: -10.48 eV per atom

***

[2]
BeCoP4 | meta-GGA SCAN | PBEsol geometry

Cell lengths 4.801, 4.801, 4.801 Å; angles 60.00, 60.00, 60.00 degrees
Each line ends with the local moment (μB).
Fractional coordinates of all 6 atoms:
P 0.874 0.375 0.375  0.01
P 0.375 0.375 0.874  0.01
Co 0.000 0.000 0.000  1.93
P 0.375 0.375 0.375  0.01
Be 0.750 0.750 0.750  -0.01
P 0.375 0.874 0.375  0.01

Calculated values
**Energy of formation from the pure elements**: 978.2 meV/atom
**Total magnetic moment**: 2.0 μB per formula unit
**Electronic total energy**: -9.56 eV per atom

***

[3]
Ag3F8 | meta-GGA SCAN | PBEsol geometry

Cell lengths 4.919, 5.403, 11.286 Å; angles 90.00, 90.00, 93.52 degrees
Each line ends with the local moment (μB).
Fractional coordinates of all 22 atoms:
F 0.243 0.825 0.462  0.08
F 0.779 0.688 0.335  0.01
F 0.757 0.175 0.538  0.08
F 0.221 0.312 0.665  0.01
F 0.222 0.186 0.903  0.09
Ag 0.240 0.495 0.811  0.02
F 0.730 0.292 0.782  0.01
F 0.270 0.708 0.218  0.01
F 0.743 0.325 0.038  0.08
Ag 0.000 0.500 0.500  0.60
F 0.721 0.812 0.835  0.01
F 0.278 0.314 0.403  0.09
Ag 0.260 0.005 0.311  0.02
F 0.770 0.208 0.282  0.01
F 0.230 0.792 0.718  0.01
Ag 0.760 0.505 0.189  0.02
F 0.279 0.188 0.165  0.01
Ag 0.500 0.000 0.000  0.60
F 0.778 0.814 0.097  0.09
F 0.722 0.686 0.597  0.09
Ag 0.740 0.995 0.689  0.02
F 0.257 0.675 0.962  0.08

Calculated values
**Total magnetic moment**: 1.1 μB per formula unit
**Formation energy from raw total energies**: -1175 meV per atom
**Electronic total energy**: -12.30 eV per atom

***

[4]
HgBiSeN2 | meta-GGA SCAN | PBEsol geometry

Cell lengths 4.276, 4.276, 5.869 Å; angles 90.00, 90.00, 90.00 degrees
Each line ends with the local moment (μB).
Fractional coordinates of all 5 atoms:
Hg 0.500 0.500 0.500  0.01
Se 0.000 0.000 0.500  0.05
N 0.000 0.500 0.000  0.81
Bi 0.000 0.000 0.000  -0.16
N 0.500 0.000 0.000  0.81

Calculated values
**Total magnetic moment**: 2.2 μB per formula unit
**Formation energy from raw total energies**: 1525 meV per atom
**Electronic total energy**: -35.56 eV per atom